(1)
The following is a DFT calculation (PBE) of crystalline Co2BrCl at its relaxed geometry. Values from VASP.

```
&SYSTEM
  ibrav = 0, nat = 4, ntyp = 3
/
ATOMIC_SPECIES
Co 58.93 Co.upf
Br 79.90 Br.upf
Cl 35.45 Cl.upf
CELL_PARAMETERS angstrom
2.100 -2.757 0.000
2.100 2.757 0.000
0.000 0.000 7.282
ATOMIC_POSITIONS crystal
Co 0.000 0.000 0.000
Co 0.500 0.500 0.128
Br 0.000 0.000 0.332
Cl 0.500 0.500 0.818
```

Computed properties:
E_form (uncorrected) in eV per atom: 0.11

(2)
The following is a DFT calculation (PBE) of crystalline Pm2Be4Pd5 at its relaxed geometry. Values from VASP.

```
&SYSTEM
  ibrav = 0, nat = 11, ntyp = 3
/
ATOMIC_SPECIES
Pm 145.00 Pm.upf
Be 9.01 Be.upf
Pd 106.42 Pd.upf
CELL_PARAMETERS angstrom
0.000 4.715 6.720
2.790 0.000 6.720
2.790 4.715 0.000
ATOMIC_POSITIONS crystal
Pm 0.136 0.136 0.864
Pm 0.864 0.864 0.136
Be 0.215 0.525 0.475
Be 0.475 0.785 0.215
Be 0.525 0.215 0.785
Be 0.785 0.475 0.525
Pd 0.000 0.000 0.500
Pd 0.250 0.250 0.250
Pd 0.500 0.500 0.000
Pd 0.500 0.500 0.500
Pd 0.750 0.750 0.750
```

Computed properties:
Formation enthalpy at 0 K in eV/atom: -0.60

(3)
The following is a DFT calculation (PBE) of crystalline Pm12Ga5Si2 at its relaxed geometry. Values from VASP.

```
&SYSTEM
  ibrav = 0, nat = 19, ntyp = 3
/
ATOMIC_SPECIES
Pm 145.00 Pm.upf
Ga 69.72 Ga.upf
Si 28.09 Si.upf
CELL_PARAMETERS angstrom
8.593 -3.542 0.000
8.593 3.542 0.000
-2.514 0.000 9.460
ATOMIC_POSITIONS crystal
Pm 0.006 0.006 0.284
Pm 0.068 0.585 0.900
Pm 0.106 0.589 0.429
Pm 0.411 0.894 0.571
Pm 0.415 0.932 0.100
Pm 0.472 0.472 0.179
Pm 0.528 0.528 0.821
Pm 0.585 0.068 0.900
Pm 0.589 0.106 0.429
Pm 0.894 0.411 0.571
Pm 0.932 0.415 0.100
Pm 0.994 0.994 0.716
Ga 0.174 0.174 0.833
Ga 0.192 0.192 0.358
Ga 0.500 0.500 0.500
Ga 0.808 0.808 0.642
Ga 0.826 0.826 0.167
Si 0.174 0.826 0.000
Si 0.826 0.174 0.000
```

Computed properties:
E_form (uncorrected) in eV per atom: -0.28

(4)
The following is a DFT calculation (PBE) of crystalline TlAuCl4 at its relaxed geometry. Values from VASP.

```
&SYSTEM
  ibrav = 0, nat = 12, ntyp = 3
/
ATOMIC_SPECIES
Tl 204.38 Tl.upf
Au 196.97 Au.upf
Cl 35.45 Cl.upf
CELL_PARAMETERS angstrom
7.214 0.000 0.000
0.000 5.837 0.000
-5.728 0.000 8.678
ATOMIC_POSITIONS crystal
Tl 0.000 0.000 0.000
Tl 0.000 0.500 0.500
Au 0.500 0.000 0.500
Au 0.500 0.500 0.000
Cl 0.118 0.001 0.379
Cl 0.118 0.499 0.879
Cl 0.469 0.712 0.334
Cl 0.469 0.788 0.834
Cl 0.531 0.212 0.166
Cl 0.531 0.288 0.666
Cl 0.882 0.501 0.121
Cl 0.882 0.999 0.621
```

Computed properties:
Energy above the lowest structure with this stoichiometry in eV/atom: 0.000
E_form (uncorrected) in eV per atom: -0.58

(5)
The following is a DFT calculation (PBE) of crystalline CuTeI at its relaxed geometry. Values from VASP.

```
&SYSTEM
  ibrav = 0, nat = 12, ntyp = 3
/
ATOMIC_SPECIES
Cu 63.55 Cu.upf
Te 127.60 Te.upf
I 126.90 I.upf
CELL_PARAMETERS angstrom
7.744 0.000 0.000
0.000 4.182 0.000
0.000 0.000 11.496
ATOMIC_POSITIONS crystal
Cu 0.151 0.250 0.076
Cu 0.349 0.750 0.576
Cu 0.651 0.250 0.424
Cu 0.849 0.750 0.924
Te 0.027 0.750 0.586
Te 0.473 0.250 0.086
Te 0.527 0.750 0.914
Te 0.973 0.250 0.414
I 0.027 0.250 0.849
I 0.473 0.750 0.349
I 0.527 0.250 0.651
I 0.973 0.750 0.151
```

Computed properties:
E_form (uncorrected) in eV per atom: -0.09

(6)
The following is a DFT calculation (PBE) of crystalline PmGa4Ag3 at its relaxed geometry. Values from VASP.

```
&SYSTEM
  ibrav = 0, nat = 8, ntyp = 3
/
ATOMIC_SPECIES
Pm 145.00 Pm.upf
Ga 69.72 Ga.upf
Ag 107.87 Ag.upf
CELL_PARAMETERS angstrom
4.740 0.000 0.000
0.000 4.740 0.000
0.000 0.000 7.407
ATOMIC_POSITIONS crystal
Pm 0.000 0.000 0.000
Ga 0.000 0.500 0.317
Ga 0.000 0.500 0.683
Ga 0.500 0.000 0.317
Ga 0.500 0.000 0.683
Ag 0.000 0.000 0.500
Ag 0.500 0.500 0.178
Ag 0.500 0.500 0.822
```

Computed properties:
Formation enthalpy at 0 K in eV/atom: -0.16